Entry 1:
A plane-wave DFT calculation with PBE was carried out for crystalline YPaH at its relaxed geometry.

Cell lengths 5.593, 6.562, 6.591 Å; angles 90.00, 90.00, 90.00 degrees
Element x y z (fractional)
Y  0.750  0.995  0.120
Y  0.250  0.495  0.380
Y  0.250  0.005  0.880
Y  0.750  0.505  0.620
H  0.750  0.747  0.362
H  0.250  0.247  0.138
H  0.250  0.253  0.638
H  0.750  0.753  0.862
Pa  0.750  0.501  0.104
Pa  0.250  0.001  0.396
Pa  0.250  0.499  0.896
Pa  0.750  0.999  0.604

## Properties
**Theoretical density**: 8.812 g cm⁻³
**Uncorrected energy**: -6.0979 eV per atom

Entry 2:
A plane-wave DFT calculation with PBE was carried out for crystalline Zn2HgO2 at its relaxed geometry.

Cell lengths 4.020, 4.020, 7.027 Å; angles 73.38, 73.38, 90.00 degrees
Element x y z (fractional)
Zn  0.227  0.227  0.545
Zn  0.773  0.773  0.455
Hg  0.000  0.000  0.000
O  0.750  0.250  0.500
O  0.250  0.750  0.500

## Properties
**E above lowest polymorph**: 0 meV per atom
**Raw formation energy**: -4.2 eV/f.u.
**Theoretical density**: 5.810 g cm⁻³

Entry 3:
A plane-wave DFT calculation with PBE was carried out for crystalline Na3SnSb2 at its relaxed geometry.

Cell lengths 7.356, 7.595, 9.118 Å; angles 114.61, 113.79, 90.00 degrees
Element x y z (fractional)
Na  0.500  0.250  0.000
Na  0.500  0.750  0.000
Na  0.768  0.018  0.537
Na  0.232  0.482  0.463
Na  0.232  0.982  0.463
Na  0.768  0.518  0.537
Sn  0.000  0.500  0.000
Sn  0.000  0.000  0.000
Sb  0.598  0.370  0.740
Sb  0.858  0.130  0.260
Sb  0.142  0.870  0.740
Sb  0.402  0.630  0.260

## Properties
**E above lowest polymorph**: 195 meV per atom
**Raw formation energy**: -0.7 eV/f.u.
**Theoretical density**: 3.450 g cm⁻³

Entry 4:
A plane-wave DFT calculation with PBE was carried out for crystalline Si2RuAu at its relaxed geometry.

Cell lengths 4.344, 4.344, 3.111 Å; angles 90.00, 90.00, 96.89 degrees
Element x y z (fractional)
Au  0.500  0.000  0.500
Ru  0.000  0.500  0.500
Si  0.000  0.000  0.000
Si  0.500  0.500  0.000

## Properties
**E above lowest polymorph**: 302 meV per atom
**Raw formation energy**: 0.4 eV/f.u.
**Theoretical density**: 10.093 g cm⁻³